# PBE Ac2Mg3Ga5, relaxed
# Formation enthalpy at 0 K: -414.7 meV per atom
# E: -0.119 hartree per atom
data_Ac2Mg3Ga5
_cell_length_a 11.0396
_cell_length_b 13.3232
_cell_length_c 6.4599
_cell_angle_alpha 90.00
_cell_angle_beta 90.00
_cell_angle_gamma 90.00
_symmetry_space_group_name_H-M 'I b a m'
_symmetry_Int_Tables_number 72
_symmetry_space_group_name_Hall '-I 2 2c'
loop_
_atom_site_label
_atom_site_fract_x
_atom_site_fract_y
_atom_site_fract_z
Ac1 0.2356 0.1255 0.0000
Mg1 0.0000 0.5000 0.2500
Mg2 0.1075 0.1365 0.5000
Ga1 0.0000 0.0000 0.2500
Ga2 0.0000 0.2809 0.2500
Ga3 0.1492 0.3800 0.0000


# PBE K3HoNp2S6, relaxed
# Raw formation energy: -18.569 eV/f.u.
# E: -0.236 hartree per atom
data_K3HoNp2S6
_cell_length_a 7.0565
_cell_length_b 12.2225
_cell_length_c 7.7308
_cell_angle_alpha 90.00
_cell_angle_beta 107.71
_cell_angle_gamma 90.00
_symmetry_space_group_name_H-M 'C 1 2/m 1'
_symmetry_Int_Tables_number 12
_symmetry_space_group_name_Hall '-C 2y'
loop_
_atom_site_label
_atom_site_fract_x
_atom_site_fract_y
_atom_site_fract_z
K1 0.0000 0.0000 0.0000
K2 0.0000 0.3336 0.0000
Ho1 0.0000 0.5000 0.5000
Np1 0.0000 0.1667 0.5000
S1 0.2329 0.3342 0.7014
S2 0.2355 0.0000 0.7012


# PBE K2HfSi, relaxed
# Raw formation energy: 2.873 eV/f.u.
# E: -0.135 hartree per atom
data_K2HfSi
_cell_length_a 12.8877
_cell_length_b 12.8877
_cell_length_c 5.1303
_cell_angle_alpha 90.00
_cell_angle_beta 90.00
_cell_angle_gamma 90.00
_symmetry_space_group_name_H-M 'I -4 2 d'
_symmetry_Int_Tables_number 122
_symmetry_space_group_name_Hall 'I -4 2bw'
loop_
_atom_site_label
_atom_site_fract_x
_atom_site_fract_y
_atom_site_fract_z
K1 0.0725 0.2500 0.1250
Hf1 0.0000 0.0000 0.5000
Si1 0.0000 0.0000 0.0000


# PBE La2Nd5Tm2, relaxed
# Formation enthalpy at 0 K: 195.3 meV per atom
# E: -0.167 hartree per atom
data_La2Nd5Tm2
_cell_length_a 15.0896
_cell_length_b 12.0417
_cell_length_c 6.9081
_cell_angle_alpha 90.00
_cell_angle_beta 90.00
_cell_angle_gamma 90.00
_symmetry_space_group_name_H-M 'I m a 2'
_symmetry_Int_Tables_number 46
_symmetry_space_group_name_Hall 'I 2 -2a'
loop_
_atom_site_label
_atom_site_fract_x
_atom_site_fract_y
_atom_site_fract_z
La1 0.1257 0.0033 0.0000
Nd1 0.0531 0.7501 0.3518
Nd2 0.1431 0.2339 0.6829
Nd3 0.2500 0.7415 0.6489
Tm1 0.0000 0.0000 0.5307
Tm2 0.2500 0.0083 0.4608


# PBE Mg2GaAgH, relaxed
# E: -0.092 hartree per atom
data_Mg2GaAgH
_cell_length_a 4.5395
_cell_length_b 4.5395
_cell_length_c 3.8418
_cell_angle_alpha 90.00
_cell_angle_beta 90.00
_cell_angle_gamma 90.00
_symmetry_space_group_name_H-M 'P 4/m m m'
_symmetry_Int_Tables_number 123
_symmetry_space_group_name_Hall '-P 4 2'
loop_
_atom_site_label
_atom_site_fract_x
_atom_site_fract_y
_atom_site_fract_z
Mg1 0.0000 0.5000 0.0000
Ga1 0.0000 0.0000 0.5000
Ag1 0.5000 0.5000 0.5000
H1 0.5000 0.5000 0.0000


# PBE Sm3GaAs2Rh9, relaxed
# Formation enthalpy at 0 K: -430.5 meV per atom
# E: -0.243 hartree per atom
data_Sm3GaAs2Rh9
_cell_length_a 6.2544
_cell_length_b 6.2544
_cell_length_c 9.0139
_cell_angle_alpha 90.00
_cell_angle_beta 90.00
_cell_angle_gamma 120.00
_symmetry_space_group_name_H-M 'P -3 m 1'
_symmetry_Int_Tables_number 164
_symmetry_space_group_name_Hall '-P 3 2"'
loop_
_atom_site_label
_atom_site_fract_x
_atom_site_fract_y
_atom_site_fract_z
Sm1 0.0000 0.0000 0.0000
Sm2 0.3333 0.6667 0.7120
Ga1 0.0000 0.0000 0.5000
As1 0.3333 0.6667 0.1743
Rh1 0.0000 0.5000 0.0000
Rh2 0.1417 0.2834 0.2793